! SrCa2B2 (PBE-GGA, relaxed); values from VASP
&SYSTEM
  ibrav = 0, nat = 10, ntyp = 3
/
ATOMIC_SPECIES
Sr 87.62 Sr.upf
Ca 40.08 Ca.upf
B 10.81 B.upf
CELL_PARAMETERS angstrom
7.278 0.000 0.000
0.000 7.278 0.000
0.000 0.000 4.409
ATOMIC_POSITIONS crystal
Sr 0.000 0.000 0.000
Sr 0.500 0.500 0.000
Ca 0.162 0.338 0.500
Ca 0.338 0.838 0.500
Ca 0.662 0.162 0.500
Ca 0.838 0.662 0.500
B 0.077 0.577 0.000
B 0.423 0.077 0.000
B 0.577 0.923 0.000
B 0.923 0.423 0.000
! V	23.355	A^3/atom
! space-group type	P4/mbm, No. 127
! DFT formation energy	0.204	eV per atom
! raw total energy	-36.04	eV for the cell shown